Record 1
## ScAgAu2 (GGA-PBE)

Data for a relaxed structure of ScAgAu2.

Properties
The crystal system is trigonal. The symmetry is No. 166.

Cell and atoms, written as POSCAR:
```
ScAgAu2
1.0
3.3839 0.0000 0.0000
-1.6919 2.9305 0.0000
0.0000 0.0000 24.6822
Sc Ag Au
3 3 6
Direct
0.0000 0.0000 0.0000 Sc
0.3333 0.6667 0.6667 Sc
0.6667 0.3333 0.3333 Sc
0.0000 0.0000 0.5000 Ag
0.3333 0.6667 0.1667 Ag
0.6667 0.3333 0.8333 Ag
0.0000 0.0000 0.2535 Au
0.0000 0.0000 0.7465 Au
0.3333 0.6667 0.4131 Au
0.3333 0.6667 0.9202 Au
0.6667 0.3333 0.0798 Au
0.6667 0.3333 0.5869 Au
```


Record 2
## ScAgAu (GGA-PBE)

Data for a relaxed structure of ScAgAu.

Properties
The crystal system is tetragonal. Its polymorph energy (0 for the lowest one) is 0 meV/atom. The symmetry is No. 107.

Cell and atoms, written as POSCAR:
```
ScAgAu
1.0
3.5693 0.0000 0.0000
0.0000 3.5693 0.0000
0.0000 0.0000 8.8691
Sc Ag Au
2 2 2
Direct
0.0000 0.0000 0.0000 Sc
0.5000 0.5000 0.5000 Sc
0.0000 0.0000 0.6710 Ag
0.5000 0.5000 0.1710 Ag
0.0000 0.0000 0.3426 Au
0.5000 0.5000 0.8426 Au
```


Record 3
## Sc6AgAu5 (GGA-PBE)

Data for a relaxed structure of Sc6AgAu5.

Properties
The crystal system is orthorhombic. The symmetry is No. 65.

Cell and atoms, written as POSCAR:
```
Sc6AgAu5
1.0
2.4088 -7.2580 0.0000
2.4088 7.2580 0.0000
0.0000 0.0000 6.7906
Sc Ag Au
6 1 5
Direct
0.0000 0.0000 0.2446 Sc
0.0000 0.0000 0.7554 Sc
0.3317 0.6683 0.2511 Sc
0.3317 0.6683 0.7489 Sc
0.6683 0.3317 0.2511 Sc
0.6683 0.3317 0.7489 Sc
0.5000 0.5000 0.5000 Ag
0.1575 0.8425 0.5000 Au
0.1694 0.8306 0.0000 Au
0.5000 0.5000 0.0000 Au
0.8306 0.1694 0.0000 Au
0.8425 0.1575 0.5000 Au
```


Record 4
## Sc2AgAu2 (GGA-PBE)

Data for a relaxed structure of Sc2AgAu2.

Properties
The crystal system is tetragonal. Its polymorph energy (0 for the lowest one) is 179 meV/atom. The symmetry is No. 127.

Cell and atoms, written as POSCAR:
```
Sc2AgAu2
1.0
7.9126 0.0000 0.0000
0.0000 7.9126 0.0000
0.0000 0.0000 3.2798
Sc Ag Au
4 2 4
Direct
0.1564 0.3436 0.0000 Sc
0.3436 0.8436 0.0000 Sc
0.6564 0.1564 0.0000 Sc
0.8436 0.6564 0.0000 Sc
0.0000 0.0000 0.0000 Ag
0.5000 0.5000 0.0000 Ag
0.1378 0.6378 0.5000 Au
0.3622 0.1378 0.5000 Au
0.6378 0.8622 0.5000 Au
0.8622 0.3622 0.5000 Au
```


Record 5
## Sc2Ag2Au (GGA-PBE)

Data for a relaxed structure of Sc2Ag2Au.

Properties
The crystal system is tetragonal. Its polymorph energy (0 for the lowest one) is 57 meV/atom. The symmetry is No. 127.

Cell and atoms, written as POSCAR:
```
Sc2Ag2Au
1.0
7.5299 0.0000 0.0000
0.0000 7.5299 0.0000
0.0000 0.0000 3.5255
Sc Ag Au
4 4 2
Direct
0.1725 0.3275 0.0000 Sc
0.3275 0.8275 0.0000 Sc
0.6725 0.1725 0.0000 Sc
0.8275 0.6725 0.0000 Sc
0.1291 0.6291 0.5000 Ag
0.3709 0.1291 0.5000 Ag
0.6291 0.8709 0.5000 Ag
0.8709 0.3709 0.5000 Ag
0.0000 0.0000 0.5000 Au
0.5000 0.5000 0.5000 Au
```


Record 6
## ScAgAu2 (GGA-PBE)

Data for a relaxed structure of ScAgAu2.

Properties
The crystal system is orthorhombic. The symmetry is No. 47.

Cell and atoms, written as POSCAR:
```
ScAgAu2
1.0
3.4071 0.0000 0.0000
0.0000 3.5022 0.0000
0.0000 0.0000 6.2776
Sc Ag Au
1 1 2
Direct
0.0000 0.0000 0.0000 Sc
0.0000 0.0000 0.5000 Ag
0.5000 0.5000 0.2480 Au
0.5000 0.5000 0.7520 Au
```


Record 7
## ScAgAu2 (GGA-PBE)

Data for a relaxed structure of ScAgAu2.

Properties
The crystal system is trigonal. The symmetry is No. 160.

Cell and atoms, written as POSCAR:
```
ScAgAu2
1.0
3.4830 0.0000 0.0000
-1.7415 3.0164 0.0000
0.0000 0.0000 23.8069
Sc Ag Au
3 3 6
Direct
0.0000 0.0000 0.0000 Sc
0.3333 0.6667 0.6667 Sc
0.6667 0.3333 0.3333 Sc
0.0000 0.0000 0.1662 Ag
0.3333 0.6667 0.8329 Ag
0.6667 0.3333 0.4995 Ag
0.0000 0.0000 0.4130 Au
0.0000 0.0000 0.5867 Au
0.3333 0.6667 0.0797 Au
0.3333 0.6667 0.2533 Au
0.6667 0.3333 0.7464 Au
0.6667 0.3333 0.9200 Au
```


Record 8
## ScAg2Au8 (GGA-PBE)

Data for a relaxed structure of ScAg2Au8.

Properties
The crystal system is monoclinic. The symmetry is No. 12.

Cell and atoms, written as POSCAR:
```
ScAg2Au8
1.0
7.5544 -2.0663 0.0000
7.5544 2.0663 0.0000
-1.7571 0.0000 6.3807
Sc Ag Au
1 2 8
Direct
0.0000 0.0000 0.0000 Sc
0.2758 0.2758 0.3666 Ag
0.7242 0.7242 0.6334 Ag
0.0917 0.0917 0.4493 Au
0.1812 0.1812 0.9136 Au
0.3641 0.3641 0.8194 Au
0.4556 0.4556 0.2709 Au
0.5444 0.5444 0.7291 Au
0.6359 0.6359 0.1806 Au
0.8188 0.8188 0.0864 Au
0.9083 0.9083 0.5507 Au
```


Record 9
## Sc6AgAu3 (GGA-PBE)

Data for a relaxed structure of Sc6AgAu3.

Properties
The crystal system is monoclinic. The symmetry is No. 11.

Cell and atoms, written as POSCAR:
```
Sc6AgAu3
1.0
8.3704 0.0000 0.0000
0.0000 4.8299 0.0000
-3.7223 0.0000 10.2455
Sc Ag Au
12 2 6
Direct
0.0133 0.2500 0.4027 Sc
0.1613 0.7500 0.1917 Sc
0.2331 0.2500 0.0088 Sc
0.3487 0.7500 0.8238 Sc
0.3723 0.2500 0.6250 Sc
0.3825 0.2500 0.3494 Sc
0.6175 0.7500 0.6506 Sc
0.6277 0.7500 0.3750 Sc
0.6513 0.2500 0.1762 Sc
0.7669 0.7500 0.9912 Sc
0.8387 0.2500 0.8083 Sc
0.9867 0.7500 0.5973 Sc
0.4401 0.7500 0.1084 Ag
0.5599 0.2500 0.8916 Ag
0.0255 0.7500 0.8699 Au
0.1242 0.2500 0.7311 Au
0.2739 0.7500 0.4717 Au
0.7261 0.2500 0.5283 Au
0.8758 0.7500 0.2689 Au
0.9745 0.2500 0.1301 Au
```


Record 10
## ScAgAu2 (GGA-PBE)

Data for a relaxed structure of ScAgAu2.

Properties
The crystal system is tetragonal. The symmetry is No. 122.

Cell and atoms, written as POSCAR:
```
ScAgAu2
1.0
7.6159 0.0000 0.0000
0.0000 7.6159 0.0000
0.0000 0.0000 5.6417
Sc Ag Au
4 4 8
Direct
0.0000 0.0000 0.0000 Sc
0.0000 0.5000 0.2500 Sc
0.5000 0.0000 0.7500 Sc
0.5000 0.5000 0.5000 Sc
0.0000 0.0000 0.5000 Ag
0.0000 0.5000 0.7500 Ag
0.5000 0.0000 0.2500 Ag
0.5000 0.5000 0.0000 Ag
0.2467 0.2500 0.1250 Au
0.2500 0.7467 0.3750 Au
0.2500 0.7533 0.8750 Au
0.2533 0.2500 0.6250 Au
0.7467 0.7500 0.6250 Au
0.7500 0.2467 0.8750 Au
0.7500 0.2533 0.3750 Au
0.7533 0.7500 0.1250 Au
```


Record 11
## ScAgAu3 (GGA-PBE)

Data for a relaxed structure of ScAgAu3.

Properties
The crystal system is cubic. The symmetry is No. 221.

Cell and atoms, written as POSCAR:
```
ScAgAu3
1.0
5.1185 0.0000 0.0000
0.0000 5.1185 0.0000
0.0000 0.0000 5.1185
Sc Ag Au
1 1 3
Direct
0.0000 0.0000 0.0000 Sc
0.5000 0.5000 0.5000 Ag
0.0000 0.0000 0.5000 Au
0.0000 0.5000 0.0000 Au
0.5000 0.0000 0.0000 Au
```


Record 12
## ScAg3Au (GGA-PBE)

Data for a relaxed structure of ScAg3Au.

Properties
The crystal system is cubic. Its polymorph energy (0 for the lowest one) is 468 meV/atom. The symmetry is No. 221.

Cell and atoms, written as POSCAR:
```
ScAg3Au
1.0
5.1006 0.0000 0.0000
0.0000 5.1006 0.0000
0.0000 0.0000 5.1006
Sc Ag Au
1 3 1
Direct
0.0000 0.0000 0.0000 Sc
0.0000 0.0000 0.5000 Ag
0.0000 0.5000 0.0000 Ag
0.5000 0.0000 0.0000 Ag
0.5000 0.5000 0.5000 Au
```


Number 1: DFT formation energy -320 meV per atom. Number 2: DFT formation energy -582 meV per atom. Number 3: DFT formation energy -724 meV per atom. Number 4: DFT formation energy -444 meV per atom. Number 5: DFT formation energy -294 meV per atom. Number 6: DFT formation energy -516 meV per atom. Number 7: DFT formation energy -311 meV per atom. Number 8: DFT formation energy -253 meV per atom. Number 9: DFT formation energy -532 meV per atom. Number 10: DFT formation energy -184 meV per atom. Number 11: DFT formation energy 477 meV per atom. Number 12: DFT formation energy 1037 meV per atom.